1.
A plane-wave DFT calculation with PBE was carried out for As2RuPt after structural relaxation.

Properties
V in Å³/cell: 63.3
Crystal system: tetragonal
Final energy in eV for the cell shown: -24.1
SG: I-4m2
Energy relative to the elements in meV per atom: 136
E above lowest polymorph in eV/atom: 0.2869

```
As2RuPt
1.0
-1.2143 -5.0396 -0.3212
3.8636 -3.4355 -0.4952
-1.1686 4.0309 3.0596
Ru As Pt
1 2 1
Direct
0.7500 0.2500 0.5000
0.0000 0.0000 0.0000
0.2500 0.7500 0.5000
0.5000 0.5000 0.0000
```

=====

2.
A plane-wave DFT calculation with PBE was carried out for AsRu2Pt2 after structural relaxation.

Properties
V in Å³/cell: 159.8
Crystal system: tetragonal
Final energy in eV for the cell shown: -69.2
SG: P4/mbm
Energy relative to the elements in meV per atom: 137

```
AsRu2Pt2
1.0
-0.8301 -5.3429 3.1811
5.5644 -2.0707 -2.0259
1.7959 1.6523 3.2438
Ru As Pt
4 2 4
Direct
0.3602 0.8602 0.0000
0.8602 0.6398 0.0000
0.6398 0.1398 0.0000
0.1398 0.3602 0.0000
0.0000 0.0000 0.0000
0.5000 0.5000 0.0000
0.1597 0.6597 0.5000
0.6597 0.8403 0.5000
0.8403 0.3403 0.5000
0.3403 0.1597 0.5000
```

=====

3.
A plane-wave DFT calculation with PBE was carried out for As2RuPt after structural relaxation.

Properties
V in Å³/cell: 63.3
Crystal system: monoclinic
Final energy in eV for the cell shown: -24.7
SG: C2/m
Energy relative to the elements in meV per atom: -21
E above lowest polymorph in eV/atom: 0.1295

```
As2RuPt
1.0
4.3387 0.0143 -0.0077
3.2397 2.8860 -0.0077
0.9920 0.3797 5.0746
Ru As Pt
1 2 1
Direct
0.2500 0.2500 0.2500
0.9898 0.9898 0.0164
0.5102 0.5102 0.4836
0.7500 0.7500 0.7500
```

=====

4.
A plane-wave DFT calculation with PBE was carried out for AsRuPt after structural relaxation.

Properties
V in Å³/cell: 47.1
Crystal system: trigonal
Final energy in eV for the cell shown: -20.0
SG: P3m1
Energy relative to the elements in meV per atom: -18
E above lowest polymorph in eV/atom: 0.1478

```
AsRuPt
1.0
4.0835 0.0000 0.0000
-2.0417 3.5364 0.0000
0.0000 0.0000 3.2625
Ru As Pt
1 1 1
Direct
0.3333 0.6667 0.7650
0.0000 0.0000 0.9520
0.6667 0.3333 0.2830
```

=====

5.
A plane-wave DFT calculation with PBE was carried out for As2RuPt after structural relaxation.

Properties
V in Å³/cell: 65.0
Crystal system: orthorhombic
Final energy in eV for the cell shown: -24.3
SG: Imm2
Energy relative to the elements in meV per atom: 73
E above lowest polymorph in eV/atom: 0.2241

```
As2RuPt
1.0
5.4541 -0.0016 -0.0082
2.7869 4.6884 0.0082
-3.6679 -3.1392 2.5376
Ru As Pt
1 2 1
Direct
0.2285 0.7285 0.5000
0.0170 0.0170 0.0000
0.7425 0.2425 0.5000
0.5120 0.5120 0.0000
```

=====

6.
A plane-wave DFT calculation with PBE was carried out for AsRu2Pt after structural relaxation.

Properties
V in Å³/cell: 59.0
Crystal system: tetragonal
Final energy in eV for the cell shown: -28.7
SG: P4/mmm
Energy relative to the elements in meV per atom: 134

```
AsRu2Pt
1.0
3.7211 0.0000 0.0000
0.0000 3.9823 0.0000
0.0000 0.0000 3.9823
Ru As Pt
2 1 1
Direct
0.0000 0.0000 0.0000
0.0000 0.5000 0.5000
0.5000 0.5000 0.0000
0.5000 0.0000 0.5000
```

=====

7.
A plane-wave DFT calculation with PBE was carried out for AsRu2Pt after structural relaxation.

Properties
V in Å³/cell: 169.9
Crystal system: tetragonal
Final energy in eV for the cell shown: -53.1
SG: I-42d
Energy relative to the elements in meV per atom: 670

```
AsRu2Pt
1.0
-1.5276 3.4676 3.8187
0.3703 -3.8986 3.6883
5.0364 1.2145 4.7013
Ru As Pt
4 2 2
Direct
0.6101 0.1250 0.2500
0.1399 0.6250 0.2500
0.3750 0.3899 0.7500
0.8750 0.8601 0.7500
0.5000 0.5000 0.0000
0.2500 0.7500 0.5000
0.0000 0.0000 0.0000
0.7500 0.2500 0.5000
```

=====

8.
A plane-wave DFT calculation with PBE was carried out for As2RuPt after structural relaxation.

Properties
V in Å³/cell: 65.3
Crystal system: orthorhombic
Final energy in eV for the cell shown: -23.5
SG: Pmmm
Energy relative to the elements in meV per atom: 275
E above lowest polymorph in eV/atom: 0.4257

```
As2RuPt
1.0
-1.4198 2.4203 -1.1961
-3.1021 -3.0930 -2.5764
-2.6994 0.0142 3.2331
Ru As Pt
1 2 1
Direct
0.0000 0.5000 0.5000
0.0000 0.0000 0.0000
0.5000 0.5000 0.0000
0.5000 0.0000 0.5000
```

=====

9.
A plane-wave DFT calculation with PBE was carried out for AsRu2Pt after structural relaxation.

Properties
V in Å³/cell: 60.5
Crystal system: orthorhombic
Final energy in eV for the cell shown: -28.2
SG: Pmmm
Energy relative to the elements in meV per atom: 271

```
AsRu2Pt
1.0
2.8056 0.0000 0.0000
0.0000 4.6740 0.0000
0.0000 0.0000 4.6124
Ru As Pt
2 1 1
Direct
0.0000 0.0000 0.0000
0.5000 0.5000 0.0000
0.5000 0.0000 0.5000
0.0000 0.5000 0.5000
```

=====

10.
A plane-wave DFT calculation with PBE was carried out for As4RuPt after structural relaxation.

Properties
V in Å³/cell: 107.0
Crystal system: cubic
Final energy in eV for the cell shown: -29.2
SG: F-43m
Energy relative to the elements in meV per atom: 783
E above lowest polymorph in eV/atom: 1.0716

```
As4RuPt
1.0
2.7820 -1.2075 4.3816
-2.5357 -0.9361 4.5924
-0.1733 -4.9407 1.9889
As Ru Pt
4 1 1
Direct
0.6254 0.6254 0.1237
0.6254 0.1237 0.6254
0.6254 0.6254 0.6254
0.1237 0.6254 0.6254
0.0000 0.0000 0.0000
0.2500 0.2500 0.2500
```